This record from Alexandria describes a relaxed La3NiO crystal. The functional is GGA+U.

Properties
Crystal system ... cubic
Energy above the most stable polymorph in this dataset ... 0.00 eV/f.u.

Unit cell a=4.956 b=4.956 c=4.956 alpha=90.00 beta=90.00 gamma=90.00
Space group Pm-3m (No. 221)
Inequivalent atoms, fractional coordinates:
La 0.000 0.000 0.500 [3 per cell]
Ni 0.500 0.500 0.500 [1 per cell]
O 0.000 0.000 0.000 [1 per cell]